Model 1:
This record from the Alexandria database describes a relaxed structure of Dy3Ho3Er2. The functional is PBE.

a b c (Å): 6.3844 6.3844 6.3844
angles (deg): 89.92 89.92 89.92
Fractional positions:
Dy (0.0000, 0.2503, 0.7497)
Dy (0.2503, 0.7497, 0.0000)
Dy (0.7497, 0.0000, 0.2503)
Ho (0.2511, 0.7489, 0.5000)
Ho (0.5000, 0.2511, 0.7489)
Ho (0.7489, 0.5000, 0.2511)
Er (0.2501, 0.2501, 0.2501)
Er (0.7499, 0.7499, 0.7499)

Calculated values
* SG: R32 (155)
* density: 8.4 g/cm3
* DOS at the Fermi energy: 14.529 states/eV/cell

Model 2:
This record from the Alexandria database describes a relaxed structure of Dy3Ho3Er2. The functional is PBE.

a b c (Å): 4.9747 4.9747 19.9046
angles (deg): 90.00 90.00 90.00
Fractional positions:
Dy (0.0000, 0.0000, 0.0000)
Dy (0.0000, 0.5000, 0.1254)
Dy (0.0000, 0.5000, 0.8746)
Dy (0.5000, 0.0000, 0.3746)
Dy (0.5000, 0.0000, 0.6254)
Dy (0.5000, 0.5000, 0.5000)
Ho (0.0000, 0.0000, 0.5000)
Ho (0.0000, 0.5000, 0.3745)
Ho (0.0000, 0.5000, 0.6255)
Ho (0.5000, 0.0000, 0.1255)
Ho (0.5000, 0.0000, 0.8745)
Ho (0.5000, 0.5000, 0.0000)
Er (0.0000, 0.0000, 0.2499)
Er (0.0000, 0.0000, 0.7501)
Er (0.5000, 0.5000, 0.2501)
Er (0.5000, 0.5000, 0.7499)

Calculated values
* SG: Immm (71)
* density: 8.9 g/cm3
* DOS at the Fermi energy: 21.703 states/eV/cell

Of them, the most stable is model 2 and the least stable is model 1.